Pa2CrIrN5 | PBE | optimized geometry

a = 6.7135 Å, b = 6.7135 Å, c = 10.0223 Å
α = 90.00°, β = 90.00°, γ = 151.82°
With the nearest neighbours (Å) after each atom.
Fractional coordinates of all 18 atoms:
Pa (0.0965, 0.9035, 0.5000)  6 N 2.30-2.45
Pa (0.1558, 0.8442, 0.1304)  5 N 2.26-2.46
Pa (0.8442, 0.1558, 0.6304)  5 N 2.26-2.46
Pa (0.9035, 0.0965, 0.0000)  6 N 2.30-2.45
Cr (0.2115, 0.7885, 0.8448)  4 N 1.94-2.15
Cr (0.7885, 0.2115, 0.3448)  4 N 1.94-2.15
Ir (0.4718, 0.5282, 0.2755)  5 N 1.98-2.14
Ir (0.5282, 0.4718, 0.7755)  5 N 1.98-2.14
N (0.0672, 0.9328, 0.8943)  1 Cr 1.94, 2 Ir 2.09
N (0.2727, 0.7273, 0.4821)  2 Cr 2.15, 3 Pa 2.30-2.40
N (0.3202, 0.6798, 0.2017)  1 Ir 2.11, 2 Cr 2.21, 1 Pa 2.26
N (0.3679, 0.6321, 0.8242)  1 Cr 2.05, 1 Ir 2.14
N (0.4812, 0.5188, 0.5877)  1 Ir 1.98
N (0.5188, 0.4812, 0.0877)  1 Ir 1.98
N (0.6321, 0.3679, 0.3242)  1 Cr 2.05, 1 Ir 2.14
N (0.6798, 0.3202, 0.7017)  1 Ir 2.11, 2 Cr 2.21, 1 Pa 2.26
N (0.7273, 0.2727, 0.9821)  2 Cr 2.15, 3 Pa 2.30-2.40
N (0.9328, 0.0672, 0.3943)  1 Cr 1.94, 2 Ir 2.09

Space-group type = Cmc2_1 (36)
Energy = -173.367 eV for the cell shown
E_form (uncorrected) = -0.84 eV per atom

---

Dy8Tm6Cd | PBE | optimized geometry

a = 9.3091 Å, b = 9.3091 Å, c = 6.1957 Å
α = 90.00°, β = 90.00°, γ = 120.00°
With the nearest neighbours (Å) after each atom.
Fractional coordinates of all 15 atoms:
Dy (0.0412, 0.7737, 0.3095)  1 Cd 3.01, 3 Dy 3.31-3.33, 1 Tm 3.35
Dy (0.2263, 0.2675, 0.3095)  1 Cd 3.01, 3 Dy 3.31-3.33, 1 Tm 3.35
Dy (0.2675, 0.0412, 0.6905)  1 Cd 3.01, 3 Dy 3.31-3.33, 1 Tm 3.35
Dy (0.3333, 0.6667, 0.3065)  3 Dy 3.33, 6 Tm 3.62-3.71
Dy (0.6667, 0.3333, 0.6935)  3 Dy 3.33, 6 Tm 3.62-3.71
Dy (0.7325, 0.9588, 0.3095)  1 Cd 3.01, 3 Dy 3.31-3.33, 1 Tm 3.35
Dy (0.7737, 0.7325, 0.6905)  1 Cd 3.01, 3 Dy 3.31-3.33, 1 Tm 3.35
Dy (0.9588, 0.2263, 0.6905)  1 Cd 3.01, 3 Dy 3.31-3.33, 1 Tm 3.35
Tm (0.0943, 0.6375, 0.8124)  1 Tm 3.25, 6 Dy 3.35-3.62
Tm (0.3625, 0.4568, 0.8124)  1 Tm 3.25, 6 Dy 3.35-3.62
Tm (0.4568, 0.0943, 0.1876)  1 Tm 3.25, 6 Dy 3.35-3.62
Tm (0.5432, 0.9057, 0.8124)  1 Tm 3.25, 6 Dy 3.35-3.62
Tm (0.6375, 0.5432, 0.1876)  1 Tm 3.25, 6 Dy 3.35-3.62
Tm (0.9057, 0.3625, 0.1876)  1 Tm 3.25, 6 Dy 3.35-3.62
Cd (0.0000, 0.0000, 0.0000)  6 Dy 3.01

Space-group type = P-3 (147)
Energy = -62.909 eV for the cell shown
ΔH_f (0 K) = 110 meV per atom

---

ErHfOsRh | PBE | optimized geometry

a = 4.6909 Å, b = 4.6909 Å, c = 4.6909 Å
α = 60.00°, β = 60.00°, γ = 60.00°
With the nearest neighbours (Å) after each atom.
Fractional coordinates of all 4 atoms:
Er (0.0000, 0.0000, 0.0000)  4 Rh 2.87, 4 Os 2.87
Hf (0.5000, 0.5000, 0.5000)  4 Rh 2.87, 4 Os 2.87
Os (0.2500, 0.2500, 0.2500)  4 Hf 2.87, 4 Er 2.87
Rh (0.7500, 0.7500, 0.7500)  4 Er 2.87, 4 Hf 2.87

Space-group type = F-43m (216)
Energy = -35.834 eV for the cell shown
ΔH_f (0 K) = -684 meV per atom

---

TaTeAs2 | PBE | optimized geometry

a = 3.3739 Å, b = 4.8539 Å, c = 4.8555 Å
α = 90.00°, β = 90.00°, γ = 90.00°
With the nearest neighbours (Å) after each atom.
Fractional coordinates of all 4 atoms:
Ta (0.0000, 0.0000, 0.0000)  4 Te 2.96, 4 As 2.96
Te (0.5000, 0.5000, 0.0000)  4 Ta 2.96, 4 As 2.96
As (0.0000, 0.5000, 0.5000)  4 As 2.96, 4 Te 2.96
As (0.5000, 0.0000, 0.5000)  4 As 2.96, 4 Ta 2.96

Space-group type = Pmmm (47)
Energy = -22.458 eV for the cell shown
E_form (uncorrected) = 0.46 eV per atom

---

SrPm2Sb | PBE | optimized geometry

a = 11.5093 Å, b = 11.5093 Å, c = 11.5093 Å
α = 20.85°, β = 20.85°, γ = 20.85°
With the nearest neighbours (Å) after each atom.
Fractional coordinates of all 4 atoms:
Sr (0.0000, 0.0000, 0.0000)  2 Pm 3.73, 6 Sr 4.17
Pm (0.1106, 0.1106, 0.1106)  3 Sb 3.06
Pm (0.8894, 0.8894, 0.8894)  3 Sb 3.06
Sb (0.5000, 0.5000, 0.5000)  6 Pm 3.06

Space-group type = R-3m (166)
Energy = -16.330 eV for the cell shown
E_form (uncorrected) = -0.26 eV per atom

---

Y2Tl2Rh | PBE | optimized geometry

a = 7.4801 Å, b = 7.4801 Å, c = 4.4330 Å
α = 90.00°, β = 90.00°, γ = 90.00°
With the nearest neighbours (Å) after each atom.
Fractional coordinates of all 10 atoms:
Y (0.1689, 0.3311, 0.0000)  6 Tl 2.99-3.21
Y (0.3311, 0.8311, 0.0000)  6 Tl 2.99-3.21
Y (0.6689, 0.1689, 0.0000)  6 Tl 2.99-3.21
Y (0.8311, 0.6689, 0.0000)  6 Tl 2.99-3.21
Tl (0.1408, 0.6408, 0.5000)  2 Rh 2.89, 1 Tl 2.98, 6 Y 2.99-3.21
Tl (0.3592, 0.1408, 0.5000)  2 Rh 2.89, 1 Tl 2.98, 6 Y 2.99-3.21
Tl (0.6408, 0.8592, 0.5000)  2 Rh 2.89, 1 Tl 2.98, 6 Y 2.99-3.21
Tl (0.8592, 0.3592, 0.5000)  2 Rh 2.89, 1 Tl 2.98, 6 Y 2.99-3.21
Rh (0.0000, 0.0000, 0.5000)  4 Tl 2.89
Rh (0.5000, 0.5000, 0.5000)  4 Tl 2.89

Space-group type = P4/mbm (127)
Energy = -52.845 eV for the cell shown
ΔH_f (0 K) = -282 meV per atom

---

Q: Which formula does entry 3 have?
A: ErHfOsRh